[1]
This record from the Alexandria database describes crystalline PmHoEr5 at its relaxed geometry. The functional is GGA-PBE.

Its formation energy is 0.20 eV/atom. For the total magnetization, the calculation gives 0.002 μB/f.u.

The space group is C2/c (No. 15) and the conventional cell measures 11.586, 6.724 and 12.092 Å, with angles of 90.00, 110.03 and 90.00 degrees. The inequivalent atoms are Pm at (0.000, 0.028, 0.250), Ho at (0.250, 0.250, 0.000), Er at (0.000, 0.410, 0.750), Er at (0.078, 0.272, 0.500) and Er at (0.220, 0.363, 0.248).

=====

[2]
This record from the Alexandria database describes crystalline GdCdGaAu at its relaxed geometry. The functional is GGA-PBE.

Its formation energy is -0.52 eV/atom. For the total magnetization, the calculation gives 7.032 μB/f.u.

The space group is F-43m (No. 216) and the conventional cell measures 6.992, 6.992 and 6.992 Å, with angles of 90.00, 90.00 and 90.00 degrees. The inequivalent atoms are Gd at (0.000, 0.000, 0.000), Cd at (0.000, 0.000, 0.500), Ga at (0.250, 0.250, 0.750) and Au at (0.250, 0.250, 0.250).

=====

Number 1: DOS(E_F) 33.0 states/eV per cell, total DFT energy (no corrections) -0.16141 hartree per atom. Number 2: DOS(E_F) 10.8 states/eV per cell, total DFT energy (no corrections) -0.21494 hartree per atom.